Run 1
An optimized crystal structure of GaSiTeN2, computed with PBE.

Computed properties:
Its total magnetic moment is 0.2 μB per formula unit. The calculation puts the density of states at the Fermi level at 1.4 states/eV/cell. The crystal system is tetragonal.

a = 3.6247 Å, b = 3.6247 Å, c = 6.5048 Å
α = 90.00°, β = 90.00°, γ = 90.00°
Last column: nearest neighbours and their distance in Å.
Sites, in units of the cell vectors:
Si 0.0000 0.0000 0.0000  4 N 1.81
Te 0.0000 0.0000 0.5000  4 Ga 2.56
Ga 0.5000 0.5000 0.5000  4 Te 2.56
N 0.0000 0.5000 0.0000  2 Si 1.81
N 0.5000 0.0000 0.0000  2 Si 1.81

***

Run 2
An optimized crystal structure of GaSiTeN2, computed with PBE.

Computed properties:
Its total magnetic moment is 0.0 μB per formula unit. The calculation puts the density of states at the Fermi level at 3.3 states/eV/cell. The crystal system is tetragonal.

a = 3.8685 Å, b = 3.8685 Å, c = 5.9227 Å
α = 90.00°, β = 90.00°, γ = 90.00°
Last column: nearest neighbours and their distance in Å.
Sites, in units of the cell vectors:
Si 0.5000 0.5000 0.5000  4 Te 2.74
Te 0.0000 0.0000 0.5000  4 Si 2.74, 2 Ga 2.96
Ga 0.0000 0.0000 0.0000  4 N 1.93
N 0.0000 0.5000 0.0000  2 Ga 1.93
N 0.5000 0.0000 0.0000  2 Ga 1.93

***

Need the numbers? Relative energies in meV/atom: run 1 0; run 2 734.